(1)
Compound: PrGa3Co3
Source: the Alexandria database
Functional: PBE-GGA
Structure: optimized geometry

The magnetic moment is 0.00 μB per atom. Its energy above the most stable polymorph in this dataset is 0.254 eV/atom. The volume is 265.3 Å³ per cell. Its formation energy is 0.13 eV per atom.

Lattice parameters (Å, degrees): 6.4255 6.4255 6.4255 90.00 90.00 90.00
Fractional coordinates of all 14 atoms:
Pr 0.0000 0.0000 0.0000
Pr 0.5000 0.5000 0.5000
Ga 0.0000 0.2500 0.5000
Ga 0.0000 0.7500 0.5000
Ga 0.2500 0.5000 0.0000
Ga 0.5000 0.0000 0.2500
Ga 0.5000 0.0000 0.7500
Ga 0.7500 0.5000 0.0000
Co 0.0000 0.5000 0.2500
Co 0.0000 0.5000 0.7500
Co 0.2500 0.0000 0.5000
Co 0.5000 0.2500 0.0000
Co 0.5000 0.7500 0.0000
Co 0.7500 0.0000 0.5000

(2)
Compound: CrIr4Ru
Source: the Alexandria database
Functional: PBE-GGA
Structure: optimized geometry

The magnetic moment is 0.00 μB per atom. Its energy above the most stable polymorph in this dataset is 0.600 eV/atom. The volume is 95.3 Å³ per cell. Its formation energy is 0.51 eV per atom.

Lattice parameters (Å, degrees): 5.1268 5.1268 5.1268 60.00 60.00 60.00
Fractional coordinates of all 6 atoms:
Cr 0.0000 0.0000 0.0000
Ir 0.1250 0.6250 0.6250
Ir 0.6250 0.1250 0.6250
Ir 0.6250 0.6250 0.1250
Ir 0.6250 0.6250 0.6250
Ru 0.2500 0.2500 0.2500

(3)
Compound: Pr5Pb2Se2
Source: the Alexandria database
Functional: PBE-GGA
Structure: optimized geometry

The calculation puts the energy relative to the elements, uncorrected at -0.99 eV per atom. The magnetic moment is 0.00 μB per atom. The volume is 547.6 Å³ per cell.

Lattice parameters (Å, degrees): 8.8733 8.8733 8.4078 90.00 90.00 55.81
Fractional coordinates of all 18 atoms:
Pr 0.0000 0.0000 0.0000
Pr 0.0339 0.7107 0.6611
Pr 0.2107 0.5339 0.1611
Pr 0.2893 0.9661 0.6611
Pr 0.4661 0.7893 0.1611
Pr 0.5000 0.5000 0.5000
Pr 0.5339 0.2107 0.8389
Pr 0.7107 0.0339 0.3389
Pr 0.7893 0.4661 0.8389
Pr 0.9661 0.2893 0.3389
Pb 0.2060 0.2060 0.0000
Pb 0.2940 0.2940 0.5000
Pb 0.7060 0.7060 0.5000
Pb 0.7940 0.7940 0.0000
Se 0.1416 0.8584 0.3567
Se 0.3584 0.6416 0.8567
Se 0.6416 0.3584 0.1433
Se 0.8584 0.1416 0.6433

(4)
Compound: ThAl3Ge3
Source: the Alexandria database
Functional: PBE-GGA
Structure: optimized geometry

The magnetic moment is 0.00 μB per atom. Its energy above the most stable polymorph in this dataset is 0.418 eV/atom. The volume is 333.6 Å³ per cell. Its formation energy is 0.24 eV per atom.

Lattice parameters (Å, degrees): 6.9352 6.9352 6.9352 90.00 90.00 90.00
Fractional coordinates of all 14 atoms:
Th 0.0000 0.0000 0.0000
Th 0.5000 0.5000 0.5000
Al 0.0000 0.2500 0.5000
Al 0.0000 0.7500 0.5000
Al 0.2500 0.5000 0.0000
Al 0.5000 0.0000 0.2500
Al 0.5000 0.0000 0.7500
Al 0.7500 0.5000 0.0000
Ge 0.0000 0.5000 0.2500
Ge 0.0000 0.5000 0.7500
Ge 0.2500 0.0000 0.5000
Ge 0.5000 0.2500 0.0000
Ge 0.5000 0.7500 0.0000
Ge 0.7500 0.0000 0.5000